VASP calculation (PBE+U) on a geometry-optimized MnSnIO2 structure.

Cell and atoms, written as extended XYZ:
```
5
Lattice="4.107 0.000 0.000 0.000 4.107 0.000 0.000 0.000 6.288" Properties=species:S:1:pos:R:3 pbc="T T T"
Mn 0.000 0.000 0.000
Sn 2.054 2.054 3.144
I 2.054 2.054 0.000
O 0.000 2.054 3.144
O 2.054 0.000 3.144
```

Properties
Space-group type: P4/mmm
Energy relative to the lowest polymorph listed for this composition in eV/atom: 0.708
Total DFT energy (no corrections) in eV for the cell shown: -24.9